The following is a PBE calculation of a relaxed structure of LaErTlCu, from Alexandria via LeMat-Bulk.

Cell lengths 5.309, 5.309, 5.309 Å; angles 60.00, 60.00, 60.00 degrees
Fractional coordinates of all 4 atoms:
La 0.000 0.000 0.000
Er 0.500 0.500 0.500
Tl 0.250 0.250 0.250
Cu 0.750 0.750 0.750

Computed properties:
total DFT energy (no corrections): -4.21 eV/atom
energy relative to the elements: -0.22 eV per atom
crystal system: cubic